Below is a relaxed UPbI6 crystal, with properties calculated at the PBE level.

Unit cell a=7.7165 b=7.7165 c=14.2592 alpha=90.00 beta=90.00 gamma=120.00
Last column: magnetic moment on the atom in μB.
Element x y z (fractional)
I 0.3142 0.9864 0.8794  -0.04
U 0.0000 0.0000 0.5000  2.17
Pb 0.3333 0.6667 0.2500  0.01
Pb 0.6667 0.3333 0.7500  0.01
I 0.0136 0.3279 0.8794  -0.04
I 0.9864 0.3142 0.3794  -0.04
I 0.6721 0.9864 0.6206  -0.04
I 0.0136 0.6858 0.6206  -0.04
I 0.9864 0.6721 0.1206  -0.04
I 0.6721 0.6858 0.8794  -0.04
I 0.6858 0.0136 0.1206  -0.04
I 0.3279 0.0136 0.3794  -0.04
I 0.6858 0.6721 0.3794  -0.04
I 0.3142 0.3279 0.6206  -0.04
U 0.0000 0.0000 0.0000  2.17
I 0.3279 0.3142 0.1206  -0.04

Results
- Formation energy (no corrections): -0.715 eV/atom
- Total moment: 4.00 μB per cell
- Calculated total energy: -3.75 eV/atom